[1]
Below is an optimized crystal structure of Tl7In3Pb, with properties calculated at the PBE level.

Unit cell a=6.9237 b=6.9237 c=8.2653 alpha=90.00 beta=90.00 gamma=120.00
Element x y z (fractional)
Tl 0.0000 0.0000 0.0000
Tl 0.0059 0.5030 0.0311
Tl 0.1705 0.3409 0.6620
Tl 0.1705 0.8295 0.6620
Tl 0.4970 0.5030 0.0311
Tl 0.4970 0.9941 0.0311
Tl 0.6591 0.8295 0.6620
In 0.3335 0.1667 0.3459
In 0.8333 0.1667 0.3459
In 0.8333 0.6665 0.3459
Pb 0.6667 0.3333 0.6857

Output
- V (Å³/cell) = 343.13
- energy above the most stable polymorph in this dataset (eV/f.u.) = 0.00
- energy relative to the elements (meV/atom) = 57
- VASP energy (eV per atom) = -2.5327

=====

[2]
Below is an optimized crystal structure of ZnAuSe2N, with properties calculated at the PBE level.

Unit cell a=5.3532 b=5.3532 c=3.7478 alpha=90.00 beta=90.00 gamma=90.00
Element x y z (fractional)
Zn 0.0000 0.0000 0.0000
Au 0.5000 0.5000 0.5000
Se 0.0000 0.5000 0.5000
Se 0.5000 0.0000 0.5000
N 0.5000 0.5000 0.0000

Output
- V (Å³/cell) = 107.40
- energy above the most stable polymorph in this dataset (eV/f.u.) = 0.00
- VASP energy (eV per atom) = -2.9501

=====

[3]
Below is an optimized crystal structure of RbMg14Mo, with properties calculated at the PBE level.

Unit cell a=10.5783 b=6.4441 c=6.4441 alpha=60.46 beta=90.00 gamma=90.00
Element x y z (fractional)
Rb 0.0000 0.0000 0.0000
Mg 0.0000 0.0104 0.5052
Mg 0.0000 0.5052 0.0104
Mg 0.2288 0.3642 0.3642
Mg 0.2499 0.3687 0.8438
Mg 0.2499 0.8438 0.3687
Mg 0.2723 0.8497 0.8497
Mg 0.5000 0.0263 0.0263
Mg 0.5000 0.0317 0.5150
Mg 0.5000 0.5150 0.0317
Mg 0.5000 0.5260 0.5260
Mg 0.7277 0.8497 0.8497
Mg 0.7501 0.3687 0.8438
Mg 0.7501 0.8438 0.3687
Mg 0.7712 0.3642 0.3642
Mo 0.0000 0.5331 0.5331

Output
- V (Å³/cell) = 382.19
- energy above the most stable polymorph in this dataset (eV/f.u.) = 0.44
- energy relative to the elements (meV/atom) = 270
- VASP energy (eV per atom) = -1.8629